The following is a DFT calculation (GGA-PBE) of a relaxed structure of CsKBa2.

Cell and atoms, written as extended XYZ:
```
4
Lattice="2.2748 1.3134 16.5976 -2.2748 1.3134 16.5976 0.0000 -2.6267 16.5976" Properties=species:S:1:pos:R:3 pbc="T T T"
Cs 0.0000 0.0000 0.0000
K 0.0000 0.0000 24.8964
Ba 0.0000 0.0000 4.4383
Ba 0.0000 0.0000 45.3544
```

ΔE_f: 163 meV per atom
energy above the most stable polymorph in this dataset: 0.91 kJ per mole of atoms
VASP energy: -1.286 eV/atom
total magnetization: 0.59 Bohr magnetons per cell